1.
CaCdW: optimized geometry, PBE.

Lattice parameters (Å, degrees): 7.792 7.761 2.883 79.93 78.71 21.36
Sites, in units of the cell vectors:
1 Ca 0.000 0.000 0.000
2 Cd 0.320 0.320 0.680
3 W 0.666 0.666 0.334

Properties
Its size of the total moment is 0.0 μB/cell. The excess energy over the best structure of this formula in the dataset comes out at 0.00 kcal/mol of atoms. Its symmetry is Fmm2. Its total energy is -14.1 eV per formula unit. As for the energy of formation from the pure elements: 56 kJ/mol of atoms.



2.
RbCaHg2Pd: optimized geometry, PBE.

Lattice parameters (Å, degrees): 5.516 5.516 5.301 90.00 90.00 90.00
Sites, in units of the cell vectors:
1 Rb 0.000 0.000 0.000
2 Ca 0.500 0.500 0.000
3 Hg 0.000 0.500 0.500
4 Hg 0.500 0.000 0.500
5 Pd 0.500 0.500 0.500

Properties
Its size of the total moment is 0.0 μB/cell. Its symmetry is P4/mmm. Its total energy is -10.2 eV per formula unit. As for the energy of formation from the pure elements: -27 kJ/mol of atoms.